{
  "formula": "FeSCl2O",
  "functional": "PBE with a Hubbard U",
  "state": "relaxed",
  "lattice_angstrom": [[4.541, 0.000, 0.000], [0.000, 4.541, 0.000], [0.000, 0.000, 4.199]],
  "species": ["Fe", "S", "Cl", "Cl", "O"],
  "fractional_positions": [[0.000, 0.000, 0.000], [0.500, 0.500, 0.000], [0.000, 0.500, 0.500], [0.500, 0.000, 0.500], [0.500, 0.500, 0.500]],
  "e_tot_ev_per_atom": -3.1135,
  "sg": "P4/mmm, No. 123"
}